No. 1
VASP calculation (PBE-GGA) on a relaxed PmAgHg4 crystal.

Values from the calculation:
The excess energy over the best structure of this formula in the dataset is 0 meV/atom. The value obtained for the energy of formation is -0.201 eV per atom.

```
PmAgHg4
1.0
-3.6194 -1.0092 2.4536
-2.2884 -4.7700 -1.2339
2.2366 -1.0807 6.9587
Ag Hg Pm
1 4 1
Cartesian
0.0000 0.0000 0.0000 Ag
-2.8757 -5.4250 1.7343 Hg
-1.3873 -2.7944 0.9080 Hg
-0.7955 -1.4350 6.4441 Hg
-2.2839 -4.0655 7.2704 Hg
-1.8356 -3.4300 4.0892 Pm
```

=====

No. 2
VASP calculation (PBE-GGA) on a relaxed PmAg6Hg6 crystal.

Values from the calculation:
The value obtained for the energy of formation is -0.063 eV per atom.

```
PmAg6Hg6
1.0
5.2603 0.0000 2.1025
2.5652 7.0411 1.2137
0.0160 0.0063 7.5914
Hg Pm Ag
6 1 6
Cartesian
2.1703 1.2095 2.2016 Hg
4.3562 2.3783 4.3645 Hg
3.4854 4.6691 6.5431 Hg
0.8915 2.4224 5.4010 Hg
5.6712 5.8379 8.7060 Hg
1.6897 4.6250 3.4041 Hg
0.0000 0.0000 0.0000 Pm
4.5785 5.3387 3.8083 Ag
3.2631 1.7087 7.0993 Ag
1.2826 3.5205 0.6068 Ag
2.6382 0.0032 4.8470 Ag
0.0080 0.0032 3.7957 Ag
3.9127 3.5205 1.6581 Ag
```

=====

No. 3
VASP calculation (PBE-GGA) on a relaxed Pm2Ag2Hg3 crystal.

Values from the calculation:
The excess energy over the best structure of this formula in the dataset is 24 meV/atom. The value obtained for the energy of formation is -0.301 eV per atom.

```
Pm2Ag2Hg3
1.0
4.6875 0.0000 0.0000
-2.3437 5.1309 -0.0389
0.0000 -2.4053 7.0648
Hg Pm Ag
3 2 2
Cartesian
0.0000 2.5278 3.9522 Hg
2.3437 0.1978 3.0737 Hg
2.3437 0.0000 0.0000 Hg
0.0000 -0.4135 5.4144 Pm
2.3437 3.1391 1.6115 Pm
2.3437 1.6034 5.6424 Ag
0.0000 1.1222 1.3834 Ag
```